--- one ---
Material: BeCrPt
Method: DFT, PBE
State: optimized geometry

Unit cell a=3.829 b=3.829 c=9.299 alpha=90.00 beta=90.00 gamma=120.00
Each line ends with the local moment (μB).
Fractional coordinates of all 6 atoms:
Cr: 0.000 0.000 0.250  2.75
Cr: 0.000 0.000 0.750  2.74
Pt: 0.000 0.000 0.000  0.21
Pt: 0.000 0.000 0.500  0.22
Be: 0.333 0.667 0.250  0.03
Be: 0.667 0.333 0.750  0.02

Output
**Space-group type**: P6_3/mmc

---

--- two ---
Material: BeCrPt
Method: DFT, PBE
State: optimized geometry

Unit cell a=4.201 b=4.199 c=4.705 alpha=90.02 beta=90.01 gamma=119.99
Fractional coordinates of all 6 atoms:
Be: 0.317 0.909 0.250
Be: 0.651 0.576 0.749
Pt: 0.318 0.909 0.750
Pt: 0.651 0.576 0.249
Cr: 0.984 0.242 0.462
Cr: 0.984 0.242 0.037

Output
**Space-group type**: P-6m2

---

--- three ---
Material: BeCrPt
Method: DFT, PBE
State: optimized geometry

Unit cell a=5.504 b=2.951 c=8.836 alpha=90.00 beta=90.00 gamma=90.00
Fractional coordinates of all 12 atoms:
Cr: 0.889 0.250 0.437
Cr: 0.611 0.750 0.937
Cr: 0.111 0.750 0.563
Cr: 0.389 0.250 0.063
Pt: 0.397 0.250 0.379
Pt: 0.103 0.750 0.879
Pt: 0.603 0.750 0.621
Pt: 0.897 0.250 0.121
Be: 0.866 0.250 0.735
Be: 0.634 0.750 0.235
Be: 0.134 0.750 0.265
Be: 0.366 0.250 0.765

Output
**Space-group type**: Pnma

---

How far above the most stable structure does each one sit? In meV/atom: one 1974; two 0; three 9.

---

--- one ---
Material: BeCrPt
Method: DFT, PBE
State: optimized geometry

Unit cell a=4.711 b=3.675 c=5.209 alpha=69.34 beta=117.02 gamma=112.96
Fractional coordinates of all 6 atoms:
Be: 0.029 0.071 0.146
Be: 0.603 0.764 0.333
Pt: 0.543 0.097 0.606
Pt: 0.581 0.400 0.038
Cr: 0.086 0.411 0.523
Cr: 0.062 0.758 0.804

Output
**Space-group type**: Cm

---

--- two ---
Material: BeCrPt
Method: DFT, PBE
State: optimized geometry

Unit cell a=3.012 b=6.562 c=3.814 alpha=106.92 beta=90.00 gamma=90.00
Each line ends with the local moment (μB).
Fractional coordinates of all 6 atoms:
Be: 0.659 0.584 0.754  0.01
Be: 0.659 0.932 0.428  0.01
Pt: 0.159 0.597 0.260  0.10
Pt: 0.159 0.920 0.922  0.10
Cr: 0.659 0.258 0.091  1.98
Cr: 0.159 0.258 0.591  -1.99

Output
**Space-group type**: Cmmm

---

How far above the most stable structure does each one sit? In meV/atom: one 140; two 0.

---

--- one ---
Material: Be3CrPt
Method: DFT, PBE
State: optimized geometry

Unit cell a=3.932 b=3.932 c=3.932 alpha=90.00 beta=90.00 gamma=90.00
Fractional coordinates of all 5 atoms:
Cr: 0.000 0.000 0.000
Pt: 0.500 0.500 0.500
Be: 0.000 0.500 0.000
Be: 0.000 0.000 0.500
Be: 0.500 0.000 0.000

Output
**Space-group type**: Pm-3m

---

--- two ---
Material: Be3CrPt
Method: DFT, PBE
State: optimized geometry

Unit cell a=4.136 b=4.136 c=4.136 alpha=90.00 beta=90.00 gamma=90.00
Each line ends with the local moment (μB).
Fractional coordinates of all 5 atoms:
Cr: 0.500 0.500 0.500  0.15
Pt: 0.000 0.000 0.000  0.04
Be: 0.000 0.500 0.000  -0.02
Be: 0.000 0.000 0.500  -0.04
Be: 0.500 0.000 0.000  -0.01

Output
**Space-group type**: Pm-3m

---

How far above the most stable structure does each one sit? In meV/atom: one 401; two 0.

---

--- one ---
Material: BeCrRe3
Method: DFT, PBE
State: optimized geometry

Unit cell a=4.422 b=4.422 c=4.422 alpha=90.00 beta=90.00 gamma=90.00
Fractional coordinates of all 5 atoms:
Re: 0.000 0.500 0.000
Re: 0.000 0.000 0.500
Re: 0.500 0.000 0.000
Be: 0.500 0.500 0.500
Cr: 0.000 0.000 0.000

Output
**Space-group type**: Pm-3m

---

--- two ---
Material: BeCrRe3
Method: DFT, PBE
State: optimized geometry

Unit cell a=4.099 b=4.099 c=4.099 alpha=90.00 beta=90.00 gamma=90.00
Fractional coordinates of all 5 atoms:
Re: 0.000 0.500 0.000
Re: 0.000 0.000 0.500
Re: 0.500 0.000 0.000
Be: 0.000 0.000 0.000
Cr: 0.500 0.500 0.500

Output
**Space-group type**: Pm-3m

---

How far above the most stable structure does each one sit? In meV/atom: one 1047; two 0.

---

--- one ---
Material: BeCrRh
Method: DFT, PBE
State: optimized geometry

Unit cell a=3.823 b=3.823 c=3.823 alpha=60.00 beta=60.00 gamma=60.00
Each line ends with the local moment (μB).
Fractional coordinates of all 3 atoms:
Cr: 0.000 0.000 0.000  3.01
Rh: 0.500 0.500 0.500  0.22
Be: 0.750 0.750 0.750  0.01

Output
**Space-group type**: F-43m

---

--- two ---
Material: BeCrRh
Method: DFT, PBE
State: optimized geometry

Unit cell a=3.928 b=3.928 c=2.598 alpha=90.00 beta=90.00 gamma=120.00
Fractional coordinates of all 3 atoms:
Cr: 0.333 0.667 0.327
Rh: 0.667 0.333 0.742
Be: 0.000 0.000 0.931

Output
**Space-group type**: P3m1

---

--- three ---
Material: BeCrRh
Method: DFT, PBE
State: optimized geometry

Unit cell a=4.114 b=5.580 c=5.580 alpha=120.00 beta=90.00 gamma=90.00
Each line ends with the local moment (μB).
Fractional coordinates of all 9 atoms:
Rh: 0.500 0.667 0.333  0.20
Rh: 0.500 0.333 0.667  0.20
Rh: 0.000 0.000 0.000  -0.01
Cr: 0.000 0.535 0.535  2.49
Cr: 0.000 0.000 0.465  2.49
Cr: 0.000 0.465 0.000  2.49
Be: 0.500 0.000 0.777  -0.02
Be: 0.500 0.777 0.000  -0.02
Be: 0.500 0.223 0.223  -0.02

Output
**Space-group type**: P-62m

---

How far above the most stable structure does each one sit? In meV/atom: one 224; two 0; three 85.

---

--- one ---
Material: BeCr2Rh
Method: DFT, PBE
State: optimized geometry

Unit cell a=4.137 b=4.137 c=4.137 alpha=60.00 beta=60.00 gamma=60.00
Each line ends with the local moment (μB).
Fractional coordinates of all 4 atoms:
Cr: 0.250 0.250 0.250  2.18
Cr: 0.750 0.750 0.750  2.18
Rh: 0.500 0.500 0.500  0.44
Be: 0.000 0.000 0.000  -0.02

Output
**Space-group type**: Fm-3m

---

--- two ---
Material: BeCr2Rh
Method: DFT, PBE
State: optimized geometry

Unit cell a=4.649 b=4.649 c=4.649 alpha=143.91 beta=125.76 gamma=66.89
Each line ends with the local moment (μB).
Fractional coordinates of all 4 atoms:
Cr: 0.990 0.990 0.000  -1.12
Cr: 0.766 0.266 0.500  1.33
Rh: 0.495 0.495 0.000  0.00
Be: 0.249 0.749 0.500  0.00

Output
**Space-group type**: Imm2

---

How far above the most stable structure does each one sit? In meV/atom: one 233; two 0.

---

--- one ---
Material: BeCr2Rh
Method: DFT, PBE
State: optimized geometry

Unit cell a=4.795 b=4.661 c=2.551 alpha=84.19 beta=70.40 gamma=114.99
Fractional coordinates of all 4 atoms:
Cr: 0.000 0.000 0.000
Cr: 0.500 0.000 0.500
Rh: 0.000 0.500 0.500
Be: 0.500 0.500 0.000

Output
**Space-group type**: C2/m

---

--- two ---
Material: BeCr2Rh
Method: DFT, PBE
State: optimized geometry

Unit cell a=8.268 b=8.268 c=8.268 alpha=18.09 beta=18.09 gamma=18.09
Fractional coordinates of all 4 atoms:
Cr: 0.004 0.004 0.004
Cr: 0.496 0.496 0.496
Rh: 0.250 0.250 0.250
Be: 0.750 0.750 0.750

Output
**Space-group type**: R-3m

---

How far above the most stable structure does each one sit? In meV/atom: one 0; two 181.